Sr2Zn2Ag5 | PBE-GGA | optimized geometry

Total moment: 0.00 μB per formula unit
Formation enthalpy at 0 K: -0.158 eV per atom
Space group: P4/mmm
Theoretical density: 6.84 g/cm3

Cell and atoms, written as CIF:
```
data_Sr2Zn2Ag5
_symmetry_space_group_name_H-M 'P 1'
_symmetry_Int_Tables_number 1
_cell_length_a 4.618
_cell_length_b 4.618
_cell_length_c 9.627
_cell_angle_alpha 90.00
_cell_angle_beta 90.00
_cell_angle_gamma 90.00
loop_
_symmetry_equiv_pos_as_xyz
'x,y,z'
loop_
_atom_site_label
_atom_site_type_symbol
_atom_site_fract_x
_atom_site_fract_y
_atom_site_fract_z
Sr1 Sr 0.000 0.000 0.000
Sr2 Sr 0.000 0.000 0.500
Ag1 Ag 0.000 0.500 0.730
Ag2 Ag 0.000 0.500 0.270
Ag3 Ag 0.500 0.000 0.730
Ag4 Ag 0.500 0.500 0.500
Ag5 Ag 0.500 0.000 0.270
Zn1 Zn 0.500 0.500 0.134
Zn2 Zn 0.500 0.500 0.866
```